# 1
VASP calculation (GGA-PBE) on a relaxed structure of Cd2CoMo.

Properties
Offset from the most stable computed form (meV per atom): 759
Symmetry: I-42d (122)
V (A^3/atom): 18.00
DFT total energy (eV/cell): -31.98

Structure (extended XYZ):
```
8
Lattice="7.4432 0.0000 0.0000 0.0000 7.4432 0.0000 3.7216 3.7216 2.5985" Properties=species:S:1:pos:R:3 pbc="T T T"
Cd 9.3040 9.0638 1.9489
Cd 5.3421 1.8608 0.6496
Cd 5.5824 5.8227 1.9489
Cd 2.1011 5.5824 0.6496
Mo 7.4432 3.7216 1.2992
Mo 0.0000 0.0000 0.0000
Co 3.7216 3.7216 0.0000
Co 3.7216 7.4432 1.2992
```


# 2
VASP calculation (GGA-PBE) on a relaxed structure of CaY2Ni.

Properties
Offset from the most stable computed form (meV per atom): 470
Symmetry: C2/m (12)
V (A^3/atom): 26.64
DFT total energy (eV/cell): -19.38

Structure (extended XYZ):
```
4
Lattice="-1.9364 4.6249 3.0640 -3.3512 -5.2008 0.5501 0.8823 -1.1059 3.1312" Properties=species:S:1:pos:R:3 pbc="T T T"
Y -0.5270 1.7595 3.0976
Y 0.0000 0.0000 0.0000
Ni -2.6438 -0.2879 1.8070
Ca -1.2345 -3.1533 1.8407
```


# 3
VASP calculation (GGA-PBE) on a relaxed structure of NdErTlPb.

Properties
Offset from the most stable computed form (meV per atom): 0
Symmetry: I-4m2 (119)
V (A^3/atom): 28.55
DFT total energy (eV/cell): -17.03

Structure (extended XYZ):
```
4
Lattice="5.0547 0.0000 0.0000 0.0000 5.0547 0.0008 -2.5273 -2.5273 4.4686" Properties=species:S:1:pos:R:3 pbc="T T T"
Tl 0.0000 2.5273 2.2349
Er 2.5273 2.5273 4.4694
Pb 2.5273 0.0000 2.2346
Nd 0.0000 0.0004 4.4689
```


# 4
VASP calculation (GGA-PBE) on a relaxed structure of Li2MnTc.

Properties
Offset from the most stable computed form (meV per atom): 67
Symmetry: P2/m (10)
V (A^3/atom): 13.73
DFT total energy (eV/cell): -22.29

Structure (extended XYZ):
```
4
Lattice="-0.4403 -4.6739 0.0122 2.2730 -0.2172 -1.1775 2.7297 -0.2475 3.7100" Properties=species:S:1:pos:R:3 pbc="T T T"
Li 2.7732 -0.2517 3.6594
Li 2.4578 -0.2281 1.3168
Tc 3.5319 -2.6854 1.9054
Mn 1.0305 -2.4531 0.6392
```